[1]
A plane-wave DFT calculation with PBE-GGA was carried out for an optimized crystal structure of TiSnOs2.

Cell and atoms, written as POSCAR:
```
TiSnOs2
1.0
4.7172 -1.4968 0.0000
4.7172 1.4968 0.0000
-2.5606 0.0000 9.5342
Ti Sn Os
2 2 4
Cartesian
0.0000 0.0000 0.0000
1.2136 0.0000 4.1263
1.3679 0.0000 7.2059
3.8335 0.0000 5.4301
2.7143 0.0000 0.8923
5.3256 0.0000 2.1611
3.9564 0.0000 8.3368
7.9605 0.0000 3.0780
```

Summary:
Size of the total moment = 0.00 μB per cell
SG = Cm
ΔE_f = -0.02 eV per atom
Crystal system = monoclinic

[2]
A plane-wave DFT calculation with PBE-GGA was carried out for an optimized crystal structure of CaIrW4.

Cell and atoms, written as POSCAR:
```
CaIrW4
1.0
0.0000 3.7821 3.7821
3.7821 0.0000 3.7821
3.7821 3.7821 0.0000
Ca Ir W
1 1 4
Cartesian
0.0000 0.0000 0.0000
5.6732 5.6732 5.6732
2.8259 2.8259 2.8259
4.7383 4.7383 2.8259
4.7383 2.8259 4.7383
2.8259 4.7383 4.7383
```

Summary:
Size of the total moment = 0.00 μB per cell
SG = F-43m
ΔE_f = 0.52 eV per atom
Crystal system = cubic

Quick rundown of E_tot, same order as above: -8.604; -9.922 eV per atom